Here is an optimized crystal structure of MgV2O6 from the Alexandria database. Energies are from PBE with a Hubbard U.

The mass density comes out at 2.8 g/cm3. The value obtained for the energy above the most stable polymorph in this dataset is 6 meV per atom.

CIF file:
```
data_MgV2O6
_symmetry_space_group_name_H-M 'C 1 2/m 1'
_symmetry_Int_Tables_number 12
_cell_length_a 10.2614
_cell_length_b 3.1777
_cell_length_c 8.0778
_cell_angle_alpha 90.00
_cell_angle_beta 95.00
_cell_angle_gamma 90.00
loop_
_symmetry_equiv_pos_as_xyz
'x,y,z'
'-x,-y,-z'
'-x,y,-z'
'x,-y,z'
'x+1/2,y+1/2,z'
'-x+1/2,-y+1/2,-z'
'-x+1/2,y+1/2,-z'
'x+1/2,-y+1/2,z'
loop_
_atom_site_label
_atom_site_fract_x
_atom_site_fract_y
_atom_site_fract_z
Mg1 0.0000 0.0000 0.0000
V1 0.1931 0.5000 0.7238
O1 0.0848 0.5000 0.8739
O2 0.1575 0.0000 0.1799
O3 0.1685 0.0000 0.6142
```